A geometry-optimized PrTmPu structure. Source: the Open Quantum Materials Database, functional PBE-GGA.

Properties
The energy of formation is 223 kJ/mol of formula units. Its energy is -7.023 eV/atom. As for the total moment: 6.441 μB/cell. As for the offset from the most stable computed form: 0 meV/atom.

a = 5.351 Å, b = 5.351 Å, c = 5.351 Å
α = 60.00°, β = 60.00°, γ = 60.00°
Element x y z (fractional)
Pr  0.000  0.000  0.000
Tm  0.500  0.500  0.500
Pu  0.250  0.250  0.250